Here is a relaxed NaCoTe2O6 crystal from Alexandria. Energies are from PBE with a Hubbard U.

Unit cell a=5.557 b=5.560 c=6.564 alpha=66.27 beta=65.80 gamma=61.31
Fractional coordinates of all 10 atoms:
Na 0.000 0.000 0.000
Co 0.596 0.586 0.229
Te 0.265 0.261 0.204
Te 0.809 0.794 0.588
O 0.182 0.590 0.429
O 0.420 0.990 0.026
O 0.567 0.415 0.039
O 0.604 0.764 0.428
O 0.807 0.162 0.411
O 0.998 0.560 0.033

SG   No. 1
Final energy   -53.32 eV per formula unit
Magnetic moment   3.98 Bohr magnetons per cell